A plane-wave DFT calculation with PBE was carried out for a relaxed RuAuN3 crystal.

abc: 3.890 3.890 3.890
angles: 90.00 90.00 90.00
Element x y z (fractional)
N1 0.000 0.000 0.500
N2 0.500 0.000 0.000
N3 0.000 0.500 0.000
Au1 0.500 0.500 0.500
Ru1 0.000 0.000 0.000

Computed properties:
- formation energy (no corrections) (eV per atom) = 1.619
- SG = Pm-3m
- magnetization (Bohr magnetons per cell) = 0.0